[1]
# Pm4Sm2O (PBE-GGA, relaxed)
# Crystal system: tetragonal
data_Pm4Sm2O
_chemical_formula_sum 'Pm4 Sm2 O1'
_cell_length_a 4.923
_cell_length_b 4.923
_cell_length_c 9.582
_cell_angle_alpha 104.89
_cell_angle_beta 104.89
_cell_angle_gamma 90.00
_symmetry_space_group_name_H-M 'P 1'
_symmetry_Int_Tables_number 1
_symmetry_space_group_name_Hall 'P 1'
loop_
_atom_site_label
_atom_site_fract_x
_atom_site_fract_y
_atom_site_fract_z
_atom_site_occupancy
O1 0.000 0.000 0.000 1
Sm1 0.662 0.662 0.325 1
Sm2 0.338 0.338 0.675 1
Pm1 0.863 0.863 0.726 1
Pm2 0.137 0.137 0.274 1
Pm3 0.000 0.500 0.000 1
Pm4 0.500 0.000 0.000 1



[2]
# PmSmO2 (PBE-GGA, relaxed)
# Energy above the most stable polymorph in this dataset (meV/atom): 0.0
# Crystal system: trigonal
data_PmSmO2
_chemical_formula_sum 'Pm1 Sm1 O2'
_cell_length_a 3.721
_cell_length_b 3.721
_cell_length_c 7.041
_cell_angle_alpha 74.68
_cell_angle_beta 74.68
_cell_angle_gamma 60.00
_symmetry_space_group_name_H-M 'P 1'
_symmetry_Int_Tables_number 1
_symmetry_space_group_name_Hall 'P 1'
loop_
_atom_site_label
_atom_site_fract_x
_atom_site_fract_y
_atom_site_fract_z
_atom_site_occupancy
O1 0.113 0.113 0.660 1
O2 0.887 0.887 0.340 1
Sm1 0.500 0.500 0.500 1
Pm1 0.000 0.000 0.000 1



[3]
# Pm5Sm3O12 (PBE-GGA, relaxed)
# Crystal system: cubic
data_Pm5Sm3O12
_chemical_formula_sum 'Pm20 Sm12 O48'
_cell_length_a 12.008
_cell_length_b 12.008
_cell_length_c 12.008
_cell_angle_alpha 109.47
_cell_angle_beta 109.47
_cell_angle_gamma 109.47
_symmetry_space_group_name_H-M 'P 1'
_symmetry_Int_Tables_number 1
_symmetry_space_group_name_Hall 'P 1'
loop_
_atom_site_label
_atom_site_fract_x
_atom_site_fract_y
_atom_site_fract_z
_atom_site_occupancy
Sm1 0.750 0.375 0.125 1
Sm2 0.875 0.750 0.125 1
Sm3 0.375 0.750 0.625 1
Sm4 0.250 0.125 0.375 1
Sm5 0.875 0.125 0.250 1
Sm6 0.375 0.625 0.250 1
Sm7 0.625 0.375 0.750 1
Sm8 0.125 0.875 0.750 1
Sm9 0.750 0.875 0.625 1
Sm10 0.625 0.250 0.375 1
Sm11 0.125 0.250 0.875 1
Sm12 0.250 0.625 0.875 1
Pm1 0.125 0.375 0.250 1
Pm2 0.000 0.500 0.000 1
Pm3 0.000 0.000 0.000 1
Pm4 0.375 0.250 0.125 1
Pm5 0.500 0.000 0.500 1
Pm6 0.500 0.500 0.000 1
Pm7 0.125 0.750 0.375 1
Pm8 0.750 0.125 0.875 1
Pm9 0.750 0.625 0.375 1
Pm10 0.375 0.125 0.750 1
Pm11 0.625 0.875 0.250 1
Pm12 0.500 0.500 0.500 1
Pm13 0.500 0.000 0.000 1
Pm14 0.000 0.000 0.500 1
Pm15 0.250 0.375 0.625 1
Pm16 0.250 0.875 0.125 1
Pm17 0.000 0.500 0.500 1
Pm18 0.875 0.250 0.625 1
Pm19 0.625 0.750 0.875 1
Pm20 0.875 0.625 0.750 1
O1 0.723 0.132 0.049 1
O2 0.325 0.549 0.417 1
O3 0.951 0.368 0.277 1
O4 0.549 0.223 0.132 1
O5 0.591 0.723 0.675 1
O6 0.951 0.583 0.175 1
O7 0.325 0.777 0.409 1
O8 0.083 0.909 0.132 1
O9 0.583 0.951 0.675 1
O10 0.723 0.591 0.175 1
O11 0.777 0.451 0.368 1
O12 0.825 0.917 0.049 1
O13 0.132 0.723 0.549 1
O14 0.368 0.417 0.091 1
O15 0.091 0.917 0.368 1
O16 0.409 0.132 0.583 1
O17 0.091 0.175 0.223 1
O18 0.451 0.675 0.083 1
O19 0.825 0.909 0.277 1
O20 0.132 0.409 0.083 1
O21 0.368 0.951 0.777 1
O22 0.583 0.632 0.409 1
O23 0.917 0.825 0.549 1
O24 0.777 0.325 0.909 1
O25 0.417 0.368 0.591 1
O26 0.083 0.175 0.451 1
O27 0.223 0.675 0.091 1
O28 0.175 0.091 0.723 1
O29 0.632 0.049 0.223 1
O30 0.868 0.591 0.917 1
O31 0.549 0.325 0.917 1
O32 0.591 0.868 0.417 1
O33 0.909 0.825 0.777 1
O34 0.909 0.083 0.632 1
O35 0.868 0.277 0.451 1
O36 0.175 0.083 0.951 1
O37 0.632 0.583 0.909 1
O38 0.417 0.049 0.325 1
O39 0.277 0.409 0.825 1
O40 0.223 0.549 0.632 1
O41 0.917 0.091 0.868 1
O42 0.675 0.223 0.591 1
O43 0.451 0.777 0.868 1
O44 0.049 0.417 0.825 1
O45 0.409 0.277 0.325 1
O46 0.049 0.632 0.723 1
O47 0.675 0.451 0.583 1
O48 0.277 0.868 0.951 1



[4]
# Pm3SmO (PBE-GGA, relaxed)
# Crystal system: cubic
data_Pm3SmO
_chemical_formula_sum 'Pm3 Sm1 O1'
_cell_length_a 5.080
_cell_length_b 5.080
_cell_length_c 5.080
_cell_angle_alpha 90.00
_cell_angle_beta 90.00
_cell_angle_gamma 90.00
_symmetry_space_group_name_H-M 'P 1'
_symmetry_Int_Tables_number 1
_symmetry_space_group_name_Hall 'P 1'
loop_
_atom_site_label
_atom_site_fract_x
_atom_site_fract_y
_atom_site_fract_z
_atom_site_occupancy
O1 0.000 0.000 0.000 1
Sm1 0.500 0.500 0.500 1
Pm1 0.000 0.500 0.000 1
Pm2 0.000 0.000 0.500 1
Pm3 0.500 0.000 0.000 1



[5]
# Pm2SmTaO8 (PBE-GGA, relaxed)
# Crystal system: monoclinic
data_Pm2SmTaO8
_chemical_formula_sum 'Pm2 Sm1 Ta1 O8'
_cell_length_a 3.816
_cell_length_b 5.572
_cell_length_c 7.546
_cell_angle_alpha 90.00
_cell_angle_beta 89.87
_cell_angle_gamma 90.01
_symmetry_space_group_name_H-M 'P 1'
_symmetry_Int_Tables_number 1
_symmetry_space_group_name_Hall 'P 1'
loop_
_atom_site_label
_atom_site_fract_x
_atom_site_fract_y
_atom_site_fract_z
_atom_site_occupancy
Pm1 0.499 0.500 0.750 1
Pm2 0.501 0.500 0.250 1
Sm1 0.000 0.000 0.500 1
Ta1 0.000 0.000 0.000 1
O1 0.001 0.767 0.212 1
O2 0.500 0.794 0.000 1
O3 0.001 0.233 0.212 1
O4 0.999 0.233 0.788 1
O5 0.500 0.206 0.000 1
O6 0.999 0.767 0.788 1
O7 0.500 0.747 0.500 1
O8 0.500 0.253 0.500 1



[6]
# Pm2SmTcO8 (PBE-GGA, relaxed)
# Crystal system: orthorhombic
data_Pm2SmTcO8
_chemical_formula_sum 'Pm2 Sm1 Tc1 O8'
_cell_length_a 5.173
_cell_length_b 5.172
_cell_length_c 6.921
_cell_angle_alpha 90.00
_cell_angle_beta 90.00
_cell_angle_gamma 90.27
_symmetry_space_group_name_H-M 'P 1'
_symmetry_Int_Tables_number 1
_symmetry_space_group_name_Hall 'P 1'
loop_
_atom_site_label
_atom_site_fract_x
_atom_site_fract_y
_atom_site_fract_z
_atom_site_occupancy
Pm1 0.500 0.500 0.751 1
Pm2 0.500 0.500 0.249 1
Sm1 0.000 0.000 0.500 1
Tc1 0.000 0.000 0.000 1
O1 0.178 0.821 0.203 1
O2 0.740 0.741 0.000 1
O3 0.822 0.179 0.203 1
O4 0.822 0.179 0.797 1
O5 0.260 0.259 0.000 1
O6 0.178 0.821 0.797 1
O7 0.692 0.692 0.500 1
O8 0.308 0.308 0.500 1



[7]
# PmSmTeO2 (PBE-GGA, relaxed)
# Crystal system: monoclinic
data_PmSmTeO2
_chemical_formula_sum 'Pm2 Sm2 Te2 O4'
_cell_length_a 4.170
_cell_length_b 6.966
_cell_length_c 7.998
_cell_angle_alpha 106.54
_cell_angle_beta 90.00
_cell_angle_gamma 90.00
_symmetry_space_group_name_H-M 'P 1'
_symmetry_Int_Tables_number 1
_symmetry_space_group_name_Hall 'P 1'
loop_
_atom_site_label
_atom_site_fract_x
_atom_site_fract_y
_atom_site_fract_z
_atom_site_occupancy
Pm1 0.250 0.671 0.922 1
Pm2 0.750 0.329 0.078 1
Sm1 0.250 0.666 0.412 1
Sm2 0.750 0.334 0.588 1
Te1 0.250 0.050 0.760 1
Te2 0.750 0.950 0.240 1
O1 0.750 0.504 0.378 1
O2 0.250 0.496 0.622 1
O3 0.750 0.517 0.877 1
O4 0.250 0.483 0.123 1



[8]
# PmSmTeO6 (PBE-GGA, relaxed)
# Crystal system: trigonal
data_PmSmTeO6
_chemical_formula_sum 'Pm2 Sm2 Te2 O12'
_cell_length_a 5.702
_cell_length_b 5.702
_cell_length_c 9.531
_cell_angle_alpha 90.00
_cell_angle_beta 90.00
_cell_angle_gamma 120.00
_symmetry_space_group_name_H-M 'P 1'
_symmetry_Int_Tables_number 1
_symmetry_space_group_name_Hall 'P 1'
loop_
_atom_site_label
_atom_site_fract_x
_atom_site_fract_y
_atom_site_fract_z
_atom_site_occupancy
Pm1 0.333 0.667 0.250 1
Pm2 0.667 0.333 0.750 1
Sm1 0.000 0.000 0.000 1
Sm2 0.000 0.000 0.500 1
Te1 0.667 0.333 0.250 1
Te2 0.333 0.667 0.750 1
O1 0.675 0.623 0.135 1
O2 0.947 0.325 0.135 1
O3 0.325 0.947 0.635 1
O4 0.053 0.675 0.865 1
O5 0.377 0.325 0.365 1
O6 0.947 0.623 0.365 1
O7 0.623 0.947 0.865 1
O8 0.675 0.053 0.365 1
O9 0.053 0.377 0.635 1
O10 0.377 0.053 0.135 1
O11 0.623 0.675 0.635 1
O12 0.325 0.377 0.865 1



Number 1: DFT total energy -5.399 eV/atom. Number 2: DFT total energy -7.628 eV/atom. Number 3: DFT total energy -8.041 eV/atom. Number 4: DFT total energy -5.876 eV/atom. Number 5: DFT total energy -8.314 eV/atom. Number 6: DFT total energy -7.891 eV/atom. Number 7: DFT total energy -7.414 eV/atom. Number 8: DFT total energy -7.082 eV/atom.